Density functional theory data (PBE) for crystalline In3Sn4Hg2 at its relaxed geometry.

For the energy of formation from the pure elements, the calculation gives 0.0420 eV per atom. As for the final energy: -2.717 eV/atom. The total magnetization comes out at 0.00 μB per cell. The distance to the lowest polymorph of the same formula is 0.004 eV/atom.

The space group is P-1 (No. 2) and the conventional cell measures 5.535, 9.070 and 10.043 Å, with angles of 92.04, 90.15 and 102.52 degrees. The asymmetric unit holds In at (0.000, 0.000, 0.000), In at (0.080, 0.646, 0.646), In at (0.418, 0.346, 0.184), In at (0.500, 0.000, 0.500), Sn at (0.083, 0.671, 0.983), Sn at (0.093, 0.705, 0.310), Sn at (0.413, 0.328, 0.521), Sn at (0.487, 0.988, 0.832), Hg at (0.007, 0.029, 0.336) and Hg at (0.412, 0.319, 0.854).

Density functional theory data (PBE) for crystalline In12SnHg3 at its relaxed geometry.

For the energy of formation from the pure elements, the calculation gives 0.0223 eV per atom. As for the final energy: -2.338 eV/atom. The total magnetization comes out at 0.00 μB per cell.

The space group is P4/mmm (No. 123) and the conventional cell measures 4.827, 4.827 and 18.348 Å, with angles of 90.00, 90.00 and 90.00 degrees. The asymmetric unit holds In at (0.000, 0.000, 0.000), In at (0.000, 0.000, 0.249), In at (0.000, 0.000, 0.500), In at (0.000, 0.500, 0.126), In at (0.000, 0.500, 0.375), Sn at (0.500, 0.500, 0.000), Hg at (0.500, 0.500, 0.252) and Hg at (0.500, 0.500, 0.500).